A plane-wave DFT calculation with GGA-PBEsol was carried out for crystalline ZnInAg2 at its relaxed geometry.

Calculated values
Mass density, g/cm3: 9.5
ΔH_f (0 K), meV per atom: 2

a b c (Å): 3.077 4.960 4.941
angles (deg): 103.84 90.00 108.07
Fractional positions:
Zn 0.500 0.000 0.000
Ag 0.761 0.521 0.763
Ag 0.239 0.479 0.237
In 0.000 0.000 0.500

=====

A plane-wave DFT calculation with GGA-PBEsol was carried out for crystalline TaSiW4 at its relaxed geometry.

Calculated values
Mass density, g/cm3: 15.7
Raw formation energy, kJ/mol of atoms: 37.33

a b c (Å): 5.205 5.205 5.205
angles (deg): 60.00 60.00 60.00
Fractional positions:
Si 0.250 0.250 0.250
Ta 0.000 0.000 0.000
W 0.625 0.625 0.126
W 0.126 0.625 0.625
W 0.625 0.126 0.625
W 0.625 0.625 0.625